[1]
Below is crystalline LaPmHoCd at its relaxed geometry, with properties calculated at the GGA-PBE level.

Lattice parameters (Å, degrees): 3.726 3.726 8.912 90.00 90.00 90.00
Space group P4mm (No. 99)
One atom of each set of equivalent atoms:
La: 0.000 0.000 0.000
Pm: 0.500 0.500 0.712
Ho: 0.500 0.500 0.277
Cd: 0.000 0.000 0.483

The energy of formation from the pure elements comes out at -144 meV/atom. The final energy is -0.145 Ha/atom. The calculation puts the energy relative to the lowest polymorph listed for this composition at 0 meV per atom. The spin magnetization is 0.0 μB per formula unit.

---

[2]
Below is crystalline TbNpPa at its relaxed geometry, with properties calculated at the GGA-PBE level.

Lattice parameters (Å, degrees): 5.094 3.463 8.681 90.00 99.81 90.00
Space group P2_1/m (No. 11)
One atom of each set of equivalent atoms:
Tb: 0.213 0.250 0.384
Np: 0.175 0.750 0.017
Pa: 0.337 0.250 0.802

The energy of formation from the pure elements comes out at 226 meV/atom. The final energy is -0.323 Ha/atom. The spin magnetization is 0.0 μB per formula unit.

---

[3]
Below is crystalline YCo2PtAu at its relaxed geometry, with properties calculated at the GGA-PBE level.

Lattice parameters (Å, degrees): 4.623 4.623 5.107 90.00 90.00 90.00
Space group P4/mmm (No. 123)
One atom of each set of equivalent atoms:
Y: 0.000 0.000 0.000
Co: 0.000 0.500 0.500
Pt: 0.500 0.500 0.000
Au: 0.500 0.500 0.500

The energy of formation from the pure elements comes out at 639 meV/atom. The final energy is -0.197 Ha/atom. The spin magnetization is 3.7 μB per formula unit.

---

[4]
Below is crystalline V2CoNi2 at its relaxed geometry, with properties calculated at the GGA-PBE level.

Lattice parameters (Å, degrees): 4.193 6.523 4.775 90.00 90.00 90.00
Space group Cmmm (No. 65)
One atom of each set of equivalent atoms:
V: 0.000 0.000 0.245
Co: 0.000 0.500 0.500
Ni: 0.000 0.329 0.000

The energy of formation from the pure elements comes out at 298 meV/atom. The final energy is -0.260 Ha/atom. The calculation puts the energy relative to the lowest polymorph listed for this composition at 417 meV per atom. The spin magnetization is 0.6 μB per formula unit.

---

[5]
Below is crystalline TbAlSn at its relaxed geometry, with properties calculated at the GGA-PBE level.

Lattice parameters (Å, degrees): 3.619 3.619 11.063 90.00 90.00 90.00
Space group I4mm (No. 107)
One atom of each set of equivalent atoms:
Tb: 0.000 0.000 0.000
Al: 0.000 0.000 0.323
Sn: 0.000 0.000 0.695

The energy of formation from the pure elements comes out at -298 meV/atom. The final energy is -0.163 Ha/atom. The spin magnetization is 0.1 μB per formula unit.

---

[6]
Below is crystalline Sr3Li2Ca3 at its relaxed geometry, with properties calculated at the GGA-PBE level.

Lattice parameters (Å, degrees): 5.880 5.893 10.408 73.59 73.60 89.87
Space group P-1 (No. 2)
One atom of each set of equivalent atoms:
Sr: 0.000 0.000 0.000
Sr: 0.147 0.647 0.707
Li: 0.250 0.250 0.501
Ca: 0.355 0.855 0.290
Ca: 0.500 0.500 0.000

The energy of formation from the pure elements comes out at 24 meV/atom. The final energy is -0.067 Ha/atom. The calculation puts the energy relative to the lowest polymorph listed for this composition at 0 meV per atom. The spin magnetization is 0.0 μB per formula unit.